Computed, not measured: MgPd8Pt4 after structural relaxation at the GGA-PBE level of DFT.

The structure belongs to space group R-3m (No. 166, hexagonal axes); the cell edges are 8.7018, 8.7018 and 10.6158 Å and the angles 90.00°, 90.00° and 120.00°. Symmetry generates all atoms from Mg at (0.0000, 0.0000, 0.0000), Pd at (0.0000, 0.0000, 0.2552), Pd at (0.0074, 0.5037, 0.2472), Pt at (0.0000, 0.0000, 0.5000) and Pt at (0.0000, 0.5000, 0.5000).

The calculation puts the total energy at -5.01 eV/atom.

Computed, not measured: TlCl after structural relaxation at the GGA-PBE level of DFT.

The structure belongs to space group Fd-3m (No. 227, origin choice 2); the cell edges are 7.6847, 7.6847 and 7.6847 Å and the angles 90.00°, 90.00° and 90.00°. Symmetry generates all atoms from Tl at (0.1250, 0.1250, 0.1250) and Cl at (0.1250, 0.1250, 0.6250).

The calculation puts the energy relative to the elements, uncorrected at -15.5 kcal/mol of atoms.

Computed, not measured: Ca4ScMo after structural relaxation at the GGA-PBE level of DFT.

The structure belongs to space group F-43m (No. 216); the cell edges are 9.2702, 9.2702 and 9.2702 Å and the angles 90.00°, 90.00° and 90.00°. Symmetry generates all atoms from Ca at (0.1250, 0.1250, 0.1250), Sc at (0.0000, 0.0000, 0.5000) and Mo at (0.2500, 0.2500, 0.7500).

The calculation puts the total energy at -3.24 eV/atom.